# 1
Material: Pu6Sn2Hg
Method: DFT, GGA-PBE
State: optimized geometry

Cell and atoms, written as POSCAR:
```
Pu6Sn2Hg
1.0
8.969 0.000 0.000
-4.484 7.767 0.000
0.000 0.000 3.281
Pu Sn Hg
6 2 1
Direct
0.000 0.333 0.000
0.000 0.667 0.000
0.333 0.000 0.000
0.333 0.333 0.000
0.667 0.000 0.000
0.667 0.667 0.000
0.333 0.667 0.500
0.667 0.333 0.500
0.000 0.000 0.500
```

Computed properties:
Space group = P6/mmm
Energy of formation from the pure elements = -0.69 eV/f.u.
Size of the total moment = 36.08 μB per cell

***

# 2
Material: K2CaMg
Method: DFT, GGA-PBE
State: optimized geometry

Cell and atoms, written as POSCAR:
```
K2CaMg
1.0
-3.196 3.196 4.455
3.196 -3.196 4.455
3.196 3.196 -4.455
K Ca Mg
2 1 1
Direct
0.000 0.000 0.000
0.750 0.250 0.500
0.500 0.500 0.000
0.250 0.750 0.500
```

Computed properties:
Space group = I-4m2
Energy of formation from the pure elements = 0.81 eV/f.u.
Size of the total moment = 0.00 μB per cell